# 1
# La5Y3Ho2 | Alexandria via LeMat-Bulk | PBE | relaxed
data_La5Y3Ho2
_chemical_formula_sum 'La20 Y12 Ho8'
_space_group_name_H-M_alt 'C 1 2/c 1'
_space_group_IT_number 15
_cell_length_a 10.951
_cell_length_b 14.809
_cell_length_c 10.237
_cell_angle_alpha 90.00
_cell_angle_beta 122.19
_cell_angle_gamma 90.00
loop_
_space_group_symop_operation_xyz
'x,y,z'
'-x,-y,-z'
'-x,y,-z+1/2'
'x,-y,z+1/2'
'x+1/2,y+1/2,z'
'-x+1/2,-y+1/2,-z'
'-x+1/2,y+1/2,-z+1/2'
'x+1/2,-y+1/2,z+1/2'
loop_
_atom_site_label
_atom_site_type_symbol
_atom_site_fract_x
_atom_site_fract_y
_atom_site_fract_z
La1 La 0.000 0.014 0.250
La2 La 0.000 0.224 0.250
La3 La 0.000 0.475 0.750
La4 La 0.245 0.370 0.240
Y1 Y 0.000 0.268 0.750
Y2 Y 0.155 0.375 0.557
Ho1 Ho 0.155 0.128 0.064
# DFT formation energy, eV per atom: 0.1610

# 2
# Ge2BiOs | Alexandria via LeMat-Bulk | PBE | relaxed
data_Ge2BiOs
_chemical_formula_sum 'Ge8 Bi4 Os4'
_space_group_name_H-M_alt 'I -4 2 d'
_space_group_IT_number 122
_space_group_name_Hall 'I -4 2bw'
_cell_length_a 6.013
_cell_length_b 6.013
_cell_length_c 12.008
_cell_angle_alpha 90.00
_cell_angle_beta 90.00
_cell_angle_gamma 90.00
loop_
_atom_site_label
_atom_site_type_symbol
_atom_site_fract_x
_atom_site_fract_y
_atom_site_fract_z
Ge1 Ge 0.179 0.250 0.125
Bi1 Bi 0.000 0.000 0.500
Os1 Os 0.000 0.000 0.000
# DFT formation energy, eV per atom: 0.5127

# 3
# Mg2Al2CuAu5 | Alexandria via LeMat-Bulk | PBE | relaxed
data_Mg2Al2CuAu5
_chemical_formula_sum 'Mg4 Al4 Cu2 Au10'
_space_group_name_H-M_alt 'P 4/m b m'
_space_group_IT_number 127
_space_group_name_Hall '-P 4 2ab'
_cell_length_a 10.753
_cell_length_b 10.753
_cell_length_c 3.126
_cell_angle_alpha 90.00
_cell_angle_beta 90.00
_cell_angle_gamma 90.00
loop_
_atom_site_label
_atom_site_type_symbol
_atom_site_fract_x
_atom_site_fract_y
_atom_site_fract_z
Mg1 Mg 0.159 0.341 0.000
Al1 Al 0.141 0.641 0.000
Cu1 Cu 0.000 0.000 0.000
Au1 Au 0.000 0.500 0.500
Au2 Au 0.117 0.836 0.500
# DFT formation energy, eV per atom: -0.3357

# 4
# Pu8Ge3As4 | Alexandria via LeMat-Bulk | PBE | relaxed
data_Pu8Ge3As4
_chemical_formula_sum 'Pu16 Ge6 As8'
_space_group_name_H-M_alt 'C 1 2/m 1'
_space_group_IT_number 12
_cell_length_a 11.674
_cell_length_b 11.650
_cell_length_c 8.253
_cell_angle_alpha 90.00
_cell_angle_beta 134.74
_cell_angle_gamma 90.00
loop_
_space_group_symop_operation_xyz
'x,y,z'
'-x,-y,-z'
'-x,y,-z'
'x,-y,z'
'x+1/2,y+1/2,z'
'-x+1/2,-y+1/2,-z'
'-x+1/2,y+1/2,-z'
'x+1/2,-y+1/2,z'
loop_
_atom_site_label
_atom_site_type_symbol
_atom_site_fract_x
_atom_site_fract_y
_atom_site_fract_z
Pu1 Pu 0.000 0.248 0.000
Pu2 Pu 0.000 0.252 0.500
Pu3 Pu 0.248 0.000 0.996
Pu4 Pu 0.250 0.000 0.498
Ge1 Ge 0.000 0.500 0.000
Ge2 Ge 0.250 0.250 0.000
As1 As 0.000 0.000 0.000
As2 As 0.000 0.000 0.500
As3 As 0.250 0.250 0.500
# DFT formation energy, eV per atom: -0.5263

# 5
# MoC2 | Alexandria via LeMat-Bulk | PBE | relaxed
data_MoC2
_chemical_formula_sum 'Mo4 C8'
_space_group_name_H-M_alt 'I m m a'
_space_group_IT_number 74
_space_group_name_Hall '-I 2b 2'
_cell_length_a 2.776
_cell_length_b 2.920
_cell_length_c 13.699
_cell_angle_alpha 90.00
_cell_angle_beta 90.00
_cell_angle_gamma 90.00
loop_
_atom_site_label
_atom_site_type_symbol
_atom_site_fract_x
_atom_site_fract_y
_atom_site_fract_z
Mo1 Mo 0.000 0.250 0.101
C1 C 0.000 0.250 0.536
C2 C 0.000 0.250 0.775
# Energy above the lowest structure with this stoichiometry, meV per atom: 417
# DFT formation energy, eV per atom: 0.9360

# 6
# RbLiBi | Alexandria via LeMat-Bulk | PBE | relaxed
data_RbLiBi
_chemical_formula_sum 'Rb4 Li4 Bi4'
_space_group_name_H-M_alt 'I 4/m m m'
_space_group_IT_number 139
_space_group_name_Hall '-I 4 2'
_cell_length_a 5.163
_cell_length_b 5.163
_cell_length_c 16.906
_cell_angle_alpha 90.00
_cell_angle_beta 90.00
_cell_angle_gamma 90.00
loop_
_atom_site_label
_atom_site_type_symbol
_atom_site_fract_x
_atom_site_fract_y
_atom_site_fract_z
Rb1 Rb 0.000 0.000 0.172
Li1 Li 0.000 0.500 0.000
Bi1 Bi 0.000 0.000 0.406
# Energy above the lowest structure with this stoichiometry, meV per atom: 0
# DFT formation energy, eV per atom: -0.3554

# 7
# Ba2PmPdO6 | Alexandria via LeMat-Bulk | PBE | relaxed
data_Ba2PmPdO6
_chemical_formula_sum 'Ba8 Pm4 Pd4 O24'
_space_group_name_H-M_alt 'F m -3 m'
_space_group_IT_number 225
_space_group_name_Hall '-F 4 2 3'
_cell_length_a 8.564
_cell_length_b 8.564
_cell_length_c 8.564
_cell_angle_alpha 90.00
_cell_angle_beta 90.00
_cell_angle_gamma 90.00
loop_
_atom_site_label
_atom_site_type_symbol
_atom_site_fract_x
_atom_site_fract_y
_atom_site_fract_z
Ba1 Ba 0.250 0.250 0.250
Pm1 Pm 0.000 0.000 0.000
Pd1 Pd 0.000 0.000 0.500
O1 O 0.000 0.000 0.266
# Formation energy from raw total energies, eV per atom: -2.0662

# 8
# Ca2In2Au15 | Alexandria via LeMat-Bulk | PBE | relaxed
data_Ca2In2Au15
_chemical_formula_sum 'Ca6 In6 Au45'
_space_group_name_H-M_alt 'R -3 m'
_space_group_IT_number 166
_space_group_name_Hall '-R 3 2"'
_cell_length_a 9.7545
_cell_length_b 9.7545
_cell_length_c 14.3362
_cell_angle_alpha 90.00
_cell_angle_beta 90.00
_cell_angle_gamma 120.00
loop_
_atom_site_label
_atom_site_type_symbol
_atom_site_fract_x
_atom_site_fract_y
_atom_site_fract_z
Ca1 Ca 0.0000 0.0000 0.1435
In1 In 0.0000 0.0000 0.3974
Au1 Au 0.0000 0.3260 0.5000
Au2 Au 0.0000 0.5000 0.0000
Au3 Au 0.0078 0.5039 0.6607
# DFT formation energy, eV per atom: -0.2784

# 9
# Li2GaHg6 | Alexandria via LeMat-Bulk | PBE | relaxed
data_Li2GaHg6
_chemical_formula_sum 'Li4 Ga2 Hg12'
_space_group_name_H-M_alt 'P 1 21/c 1'
_space_group_IT_number 14
_cell_length_a 5.992
_cell_length_b 9.142
_cell_length_c 9.462
_cell_angle_alpha 90.00
_cell_angle_beta 125.99
_cell_angle_gamma 90.00
loop_
_space_group_symop_operation_xyz
'x,y,z'
'-x,-y,-z'
'-x,y+1/2,-z+1/2'
'x,-y+1/2,z+1/2'
loop_
_atom_site_label
_atom_site_type_symbol
_atom_site_fract_x
_atom_site_fract_y
_atom_site_fract_z
Li1 Li 0.121 0.084 0.294
Ga1 Ga 0.500 0.000 0.000
Hg1 Hg 0.053 0.157 0.961
Hg2 Hg 0.313 0.704 0.941
Hg3 Hg 0.322 0.049 0.659
# Energy above the lowest structure with this stoichiometry, meV per atom: 3
# DFT formation energy, eV per atom: -0.1306

# 10
# ReAg2Se | Alexandria via LeMat-Bulk | PBE | relaxed
data_ReAg2Se
_chemical_formula_sum 'Re4 Ag8 Se4'
_space_group_name_H-M_alt 'I -4 2 d'
_space_group_IT_number 122
_space_group_name_Hall 'I -4 2bw'
_cell_length_a 7.719
_cell_length_b 7.719
_cell_length_c 5.089
_cell_angle_alpha 90.00
_cell_angle_beta 90.00
_cell_angle_gamma 90.00
loop_
_atom_site_label
_atom_site_type_symbol
_atom_site_fract_x
_atom_site_fract_y
_atom_site_fract_z
Re1 Re 0.000 0.000 0.000
Ag1 Ag 0.238 0.250 0.625
Se1 Se 0.000 0.000 0.500
# Formation energy from raw total energies, eV per atom: 0.9363

# 11
# MgIn2Se4 | Alexandria via LeMat-Bulk | PBE | relaxed
data_MgIn2Se4
_chemical_formula_sum 'Mg3 In6 Se12'
_space_group_name_H-M_alt 'R -3 m'
_space_group_IT_number 166
_space_group_name_Hall '-R 3 2"'
_cell_length_a 4.1290
_cell_length_b 4.1290
_cell_length_c 41.4315
_cell_angle_alpha 90.00
_cell_angle_beta 90.00
_cell_angle_gamma 120.00
loop_
_atom_site_label
_atom_site_type_symbol
_atom_site_fract_x
_atom_site_fract_y
_atom_site_fract_z
Mg1 Mg 0.0000 0.0000 0.0000
In1 In 0.0000 0.0000 0.2397
Se1 Se 0.0000 0.0000 0.1233
Se2 Se 0.0000 0.0000 0.3009
# Formation energy from raw total energies, eV per atom: -0.7516

# 12
# Na2Hf2CrS6 | Alexandria via LeMat-Bulk | PBE | relaxed
data_Na2Hf2CrS6
_chemical_formula_sum 'Na4 Hf4 Cr2 S12'
_space_group_name_H-M_alt 'C 1 2/m 1'
_space_group_IT_number 12
_cell_length_a 6.199
_cell_length_b 10.698
_cell_length_c 7.200
_cell_angle_alpha 90.00
_cell_angle_beta 107.00
_cell_angle_gamma 90.00
loop_
_space_group_symop_operation_xyz
'x,y,z'
'-x,-y,-z'
'-x,y,-z'
'x,-y,z'
'x+1/2,y+1/2,z'
'-x+1/2,-y+1/2,-z'
'-x+1/2,y+1/2,-z'
'x+1/2,-y+1/2,z'
loop_
_atom_site_label
_atom_site_type_symbol
_atom_site_fract_x
_atom_site_fract_y
_atom_site_fract_z
Na1 Na 0.000 0.169 0.000
Hf1 Hf 0.000 0.333 0.500
Cr1 Cr 0.000 0.000 0.500
S1 S 0.233 0.159 0.711
S2 S 0.248 0.000 0.291
# Formation energy from raw total energies, eV per atom: -1.3297

# 13
# Pr3Ga2Ru2N3 | Alexandria via LeMat-Bulk | PBE | relaxed
data_Pr3Ga2Ru2N3
_chemical_formula_sum 'Pr6 Ga4 Ru4 N6'
_space_group_name_H-M_alt 'I 4/m m m'
_space_group_IT_number 139
_space_group_name_Hall '-I 4 2'
_cell_length_a 3.756
_cell_length_b 3.756
_cell_length_c 24.647
_cell_angle_alpha 90.00
_cell_angle_beta 90.00
_cell_angle_gamma 90.00
loop_
_atom_site_label
_atom_site_type_symbol
_atom_site_fract_x
_atom_site_fract_y
_atom_site_fract_z
Pr1 Pr 0.000 0.000 0.000
Pr2 Pr 0.000 0.000 0.396
Ga1 Ga 0.000 0.500 0.250
Ru1 Ru 0.000 0.000 0.179
N1 N 0.000 0.000 0.100
N2 N 0.000 0.000 0.500
# Formation energy from raw total energies, eV per atom: -0.6969

# 14
# HgPCl | Alexandria via LeMat-Bulk | PBE | relaxed
data_HgPCl
_chemical_formula_sum 'Hg2 P2 Cl2'
_space_group_name_H-M_alt 'P 1'
_space_group_IT_number 1
_cell_length_a 3.459
_cell_length_b 6.392
_cell_length_c 7.950
_cell_angle_alpha 103.30
_cell_angle_beta 90.14
_cell_angle_gamma 90.04
loop_
_space_group_symop_operation_xyz
'x,y,z'
loop_
_atom_site_label
_atom_site_type_symbol
_atom_site_fract_x
_atom_site_fract_y
_atom_site_fract_z
Hg1 Hg 0.000 0.000 0.000
Hg2 Hg 0.494 0.600 0.338
P1 P 0.072 0.921 0.685
P2 P 0.572 0.679 0.653
Cl1 Cl 0.094 0.520 0.069
Cl2 Cl 0.596 0.080 0.268
# Formation energy from raw total energies, eV per atom: -0.2484
# Energy above the lowest structure with this stoichiometry, meV per atom: 0

# 15
# SiSeSBr2 | Alexandria via LeMat-Bulk | PBE | relaxed
data_SiSeSBr2
_chemical_formula_sum 'Si1 Se1 S1 Br2'
_space_group_name_H-M_alt 'P 4/m m m'
_space_group_IT_number 123
_space_group_name_Hall '-P 4 2'
_cell_length_a 5.049
_cell_length_b 5.049
_cell_length_c 5.026
_cell_angle_alpha 90.00
_cell_angle_beta 90.00
_cell_angle_gamma 90.00
loop_
_atom_site_label
_atom_site_type_symbol
_atom_site_fract_x
_atom_site_fract_y
_atom_site_fract_z
Si1 Si 0.000 0.000 0.000
Se1 Se 0.500 0.500 0.000
S1 S 0.500 0.500 0.500
Br1 Br 0.000 0.500 0.500
# Formation energy from raw total energies, eV per atom: 0.6908
# Energy above the lowest structure with this stoichiometry, meV per atom: 159

# 16
# RbCuAg2Se2 | Alexandria via LeMat-Bulk | PBE | relaxed
data_RbCuAg2Se2
_chemical_formula_sum 'Rb2 Cu2 Ag4 Se4'
_space_group_name_H-M_alt 'P n n m'
_space_group_IT_number 58
_cell_length_a 7.303
_cell_length_b 9.700
_cell_length_c 4.650
_cell_angle_alpha 90.00
_cell_angle_beta 90.00
_cell_angle_gamma 90.00
loop_
_space_group_symop_operation_xyz
'x,y,z'
'-x,-y,-z'
'-x,-y,z'
'x,y,-z'
'x+1/2,-y+1/2,-z+1/2'
'-x+1/2,y+1/2,z+1/2'
'-x+1/2,y+1/2,-z+1/2'
'x+1/2,-y+1/2,z+1/2'
loop_
_atom_site_label
_atom_site_type_symbol
_atom_site_fract_x
_atom_site_fract_y
_atom_site_fract_z
Rb1 Rb 0.000 0.000 0.000
Cu1 Cu 0.000 0.500 0.000
Ag1 Ag 0.034 0.341 0.500
Se1 Se 0.208 0.322 0.000
# Formation energy from raw total energies, eV per atom: -0.4016

# 17
# ZnC5 | Alexandria via LeMat-Bulk | PBE | relaxed
data_ZnC5
_chemical_formula_sum 'Zn4 C20'
_space_group_name_H-M_alt 'F -4 3 m'
_space_group_IT_number 216
_space_group_name_Hall 'F -4 2 3'
_cell_length_a 6.076
_cell_length_b 6.076
_cell_length_c 6.076
_cell_angle_alpha 90.00
_cell_angle_beta 90.00
_cell_angle_gamma 90.00
loop_
_atom_site_label
_atom_site_type_symbol
_atom_site_fract_x
_atom_site_fract_y
_atom_site_fract_z
Zn1 Zn 0.000 0.000 0.000
C1 C 0.091 0.091 0.409
C2 C 0.250 0.250 0.750
# Energy above the lowest structure with this stoichiometry, meV per atom: 2353
# DFT formation energy, eV per atom: 3.1354

# 18
# VSi2HRu | Alexandria via LeMat-Bulk | PBE | relaxed
data_VSi2HRu
_chemical_formula_sum 'V1 Si2 H1 Ru1'
_space_group_name_H-M_alt 'P 4/m m m'
_space_group_IT_number 123
_space_group_name_Hall '-P 4 2'
_cell_length_a 4.136
_cell_length_b 4.136
_cell_length_c 3.181
_cell_angle_alpha 90.00
_cell_angle_beta 90.00
_cell_angle_gamma 90.00
loop_
_atom_site_label
_atom_site_type_symbol
_atom_site_fract_x
_atom_site_fract_y
_atom_site_fract_z
V1 V 0.000 0.000 0.000
Si1 Si 0.000 0.500 0.500
H1 H 0.000 0.000 0.500
Ru1 Ru 0.500 0.500 0.000
# E, eV per cell: -33.03

# 19
# BiHIr3 | Alexandria via LeMat-Bulk | PBE | relaxed
data_BiHIr3
_chemical_formula_sum 'Bi1 H1 Ir3'
_space_group_name_H-M_alt 'P m -3 m'
_space_group_IT_number 221
_space_group_name_Hall '-P 4 2 3'
_cell_length_a 5.069
_cell_length_b 5.069
_cell_length_c 5.069
_cell_angle_alpha 90.00
_cell_angle_beta 90.00
_cell_angle_gamma 90.00
loop_
_atom_site_label
_atom_site_type_symbol
_atom_site_fract_x
_atom_site_fract_y
_atom_site_fract_z
Bi1 Bi 0.000 0.000 0.000
H1 H 0.500 0.500 0.500
Ir1 Ir 0.000 0.000 0.500
# Energy above the lowest structure with this stoichiometry, meV per atom: 2351

# 20
# TmLuZnNi | Alexandria via LeMat-Bulk | PBE | relaxed
data_TmLuZnNi
_chemical_formula_sum 'Tm4 Lu4 Zn4 Ni4'
_space_group_name_H-M_alt 'F -4 3 m'
_space_group_IT_number 216
_space_group_name_Hall 'F -4 2 3'
_cell_length_a 6.817
_cell_length_b 6.817
_cell_length_c 6.817
_cell_angle_alpha 90.00
_cell_angle_beta 90.00
_cell_angle_gamma 90.00
loop_
_atom_site_label
_atom_site_type_symbol
_atom_site_fract_x
_atom_site_fract_y
_atom_site_fract_z
Tm1 Tm 0.000 0.000 0.000
Lu1 Lu 0.000 0.000 0.500
Zn1 Zn 0.250 0.250 0.250
Ni1 Ni 0.250 0.250 0.750
# DFT formation energy, eV per atom: -0.3922

# 21
# CaHfTiCo2 | Alexandria via LeMat-Bulk | PBE | relaxed
data_CaHfTiCo2
_chemical_formula_sum 'Ca1 Hf1 Ti1 Co2'
_space_group_name_H-M_alt 'P 4/m m m'
_space_group_IT_number 123
_space_group_name_Hall '-P 4 2'
_cell_length_a 4.409
_cell_length_b 4.409
_cell_length_c 4.939
_cell_angle_alpha 90.00
_cell_angle_beta 90.00
_cell_angle_gamma 90.00
loop_
_atom_site_label
_atom_site_type_symbol
_atom_site_fract_x
_atom_site_fract_y
_atom_site_fract_z
Ca1 Ca 0.000 0.000 0.000
Hf1 Hf 0.000 0.000 0.500
Ti1 Ti 0.500 0.500 0.500
Co1 Co 0.000 0.500 0.000
# DFT formation energy, eV per atom: 1.7305

# 22
# PuZn4Tc | Alexandria via LeMat-Bulk | PBE | relaxed
data_PuZn4Tc
_chemical_formula_sum 'Pu4 Zn16 Tc4'
_space_group_name_H-M_alt 'F -4 3 m'
_space_group_IT_number 216
_space_group_name_Hall 'F -4 2 3'
_cell_length_a 7.311
_cell_length_b 7.311
_cell_length_c 7.311
_cell_angle_alpha 90.00
_cell_angle_beta 90.00
_cell_angle_gamma 90.00
loop_
_atom_site_label
_atom_site_type_symbol
_atom_site_fract_x
_atom_site_fract_y
_atom_site_fract_z
Pu1 Pu 0.000 0.000 0.000
Zn1 Zn 0.124 0.124 0.376
Tc1 Tc 0.250 0.250 0.750
# DFT formation energy, eV per atom: -0.0038

# 23
# ScBe2Te | Alexandria via LeMat-Bulk | PBE | relaxed
data_ScBe2Te
_chemical_formula_sum 'Sc2 Be4 Te2'
_space_group_name_H-M_alt 'I m m 2'
_space_group_IT_number 44
_cell_length_a 3.734
_cell_length_b 3.751
_cell_length_c 9.309
_cell_angle_alpha 90.00
_cell_angle_beta 90.00
_cell_angle_gamma 90.00
loop_
_space_group_symop_operation_xyz
'x,y,z'
'-x,-y,z'
'-x,y,z'
'x,-y,z'
'x+1/2,y+1/2,z+1/2'
'-x+1/2,-y+1/2,z+1/2'
'-x+1/2,y+1/2,z+1/2'
'x+1/2,-y+1/2,z+1/2'
loop_
_atom_site_label
_atom_site_type_symbol
_atom_site_fract_x
_atom_site_fract_y
_atom_site_fract_z
Sc1 Sc 0.000 0.000 0.000
Be1 Be 0.000 0.000 0.552
Be2 Be 0.000 0.500 0.222
Te1 Te 0.000 0.500 0.753
# Formation energy from raw total energies, eV per atom: 0.0032